First-principles (GGA-PBE) data for crystalline TbZnAgAs2 at its relaxed geometry, as listed in Alexandria via LeMat-Bulk.

The structure in POSCAR format:
```
TbZnAgAs2
1.0
-3.581 0.373 -2.275
2.270 -3.599 -0.177
-3.617 -2.541 5.277
Tb Zn Ag As
1 1 1 2
Cartesian
-3.243 -4.779 4.322
-1.366 -0.960 1.993
-3.914 -2.555 1.755
-2.499 -1.561 -0.309
-2.770 -1.946 4.042
```

Formation energy from the elements ... -0.62 eV per atom
Total moment ... 0.000 μB/atom
Space-group type ... P3m1, No. 156